Record 1
# Ac3SmY3, optimized geometry, DFT PBE
data_Ac3SmY3
_cell_length_a 9.948
_cell_length_b 9.948
_cell_length_c 8.418
_cell_angle_alpha 53.78
_cell_angle_beta 53.78
_cell_angle_gamma 60.00
_symmetry_space_group_name_H-M 'P 1'
_symmetry_Int_Tables_number 1
loop_
_symmetry_equiv_pos_as_xyz
'x,y,z'
loop_
_atom_site_label
_atom_site_type_symbol
_atom_site_fract_x
_atom_site_fract_y
_atom_site_fract_z
Ac1 Ac 0.324 0.886 0.748
Ac2 Ac 0.886 0.042 0.748
Ac3 Ac 0.042 0.324 0.748
Ac4 Ac 0.958 0.676 0.252
Ac5 Ac 0.114 0.958 0.252
Ac6 Ac 0.676 0.114 0.252
Sm1 Sm 0.744 0.744 0.768
Sm2 Sm 0.256 0.256 0.232
Y1 Y 0.400 0.533 0.251
Y2 Y 0.816 0.400 0.251
Y3 Y 0.533 0.816 0.251
Y4 Y 0.467 0.184 0.749
Y5 Y 0.184 0.600 0.749
Y6 Y 0.600 0.467 0.749
# Space-group type = R-3, No. 148
# Formation energy from the elements = 0.05 eV/atom



Record 2
# SrCd2W, optimized geometry, DFT PBE
data_SrCd2W
_cell_length_a 4.735
_cell_length_b 4.734
_cell_length_c 4.185
_cell_angle_alpha 90.00
_cell_angle_beta 90.00
_cell_angle_gamma 90.00
_symmetry_space_group_name_H-M 'P 1'
_symmetry_Int_Tables_number 1
loop_
_symmetry_equiv_pos_as_xyz
'x,y,z'
loop_
_atom_site_label
_atom_site_type_symbol
_atom_site_fract_x
_atom_site_fract_y
_atom_site_fract_z
Cd1 Cd 0.000 0.000 0.000
Cd2 Cd 0.500 0.500 0.000
Sr1 Sr 0.500 0.000 0.500
W1 W 0.000 0.500 0.500
# Energy above the most stable polymorph in this dataset = 254 meV/atom
# Space-group type = P4/mmm, No. 123
# Formation energy from the elements = 0.81 eV/atom



Record 3
# RbYGe2O6, optimized geometry, DFT PBE
data_RbYGe2O6
_cell_length_a 5.860
_cell_length_b 5.860
_cell_length_c 7.145
_cell_angle_alpha 65.79
_cell_angle_beta 65.79
_cell_angle_gamma 60.00
_symmetry_space_group_name_H-M 'P 1'
_symmetry_Int_Tables_number 1
loop_
_symmetry_equiv_pos_as_xyz
'x,y,z'
loop_
_atom_site_label
_atom_site_type_symbol
_atom_site_fract_x
_atom_site_fract_y
_atom_site_fract_z
Rb1 Rb 0.000 0.000 0.000
Y1 Y 0.500 0.500 0.500
Ge1 Ge 0.770 0.770 0.691
Ge2 Ge 0.230 0.230 0.309
O1 O 0.080 0.505 0.704
O2 O 0.711 0.080 0.704
O3 O 0.495 0.289 0.296
O4 O 0.920 0.495 0.296
O5 O 0.289 0.920 0.296
O6 O 0.505 0.711 0.704
# Space-group type = R-3, No. 148
# Formation energy without anion corrections = -2.017 eV per atom



Record 4
# Tb2ThPd7, optimized geometry, DFT PBE
data_Tb2ThPd7
_cell_length_a 5.134
_cell_length_b 5.134
_cell_length_c 9.501
_cell_angle_alpha 111.63
_cell_angle_beta 111.63
_cell_angle_gamma 68.63
_symmetry_space_group_name_H-M 'P 1'
_symmetry_Int_Tables_number 1
loop_
_symmetry_equiv_pos_as_xyz
'x,y,z'
loop_
_atom_site_label
_atom_site_type_symbol
_atom_site_fract_x
_atom_site_fract_y
_atom_site_fract_z
Tb1 Tb 0.673 0.673 0.347
Tb2 Tb 0.327 0.327 0.653
Th1 Th 0.000 0.000 0.000
Pd1 Pd 0.085 0.585 0.170
Pd2 Pd 0.415 0.915 0.830
Pd3 Pd 0.585 0.085 0.170
Pd4 Pd 0.500 0.500 0.000
Pd5 Pd 0.750 0.250 0.500
Pd6 Pd 0.915 0.415 0.830
Pd7 Pd 0.250 0.750 0.500
# Space-group type = Fmmm, No. 69
# Formation energy from the elements = -0.71 eV/atom



no.,N(E_F) (states/eV/cell),magnetization (μB/f.u.)
1,23.1,0.00
2,3.1,1.30
3,0.0,0.00
4,6.7,0.00